No. 1
Density functional theory data (PBE) for a geometry-optimized SmAsHRh2 structure.

```
SmAsHRh2
1.0
-3.498 -0.396 -1.765
3.422 -4.346 -1.413
-2.440 -3.770 5.684
Sm As H Rh
2 2 2 4
Cartesian
-0.349 -6.852 2.230
-2.168 -1.660 0.276
-2.832 -5.057 2.355
0.315 -3.456 0.151
0.000 0.000 0.000
-1.220 -1.885 2.842
-1.780 -5.014 4.655
-0.736 -3.498 -2.149
-0.818 -3.527 2.413
-1.699 -4.985 0.093
```

Properties
- DOS(E_F): 1.85 states/eV/f.u.
- Raw total energy: -6.276 eV per atom



No. 2
Density functional theory data (PBE) for a geometry-optimized Tc2MoP structure.

```
Tc2MoP
1.0
-2.276 2.793 1.650
0.968 -0.730 2.572
4.213 3.067 0.618
Tc Mo P
2 1 1
Cartesian
3.220 2.143 0.813
1.961 0.194 2.376
-0.654 1.031 2.111
1.453 2.565 2.420
```

Properties
- DOS(E_F): 4.67 states/eV/f.u.
- Raw total energy: -9.276 eV per atom



No. 3
Density functional theory data (PBE) for a geometry-optimized PuInO4 structure.

```
PuInO4
1.0
5.283 0.000 0.000
0.000 5.283 0.000
-2.641 -2.641 5.303
Pu In O
2 2 8
Cartesian
0.000 2.641 2.652
2.641 2.641 0.000
0.000 0.000 0.000
2.641 0.000 2.652
-1.286 -1.321 3.978
3.962 3.927 1.326
-1.286 1.321 3.978
1.321 1.355 1.326
1.286 -1.321 3.978
1.286 1.321 3.978
1.321 3.927 1.326
3.962 1.355 1.326
```

Properties
- DOS(E_F): 6.57 states/eV/f.u.
- Formation energy without anion corrections: -2151 meV per atom
- Raw total energy: -8.302 eV per atom



No. 4
Density functional theory data (PBE) for a geometry-optimized Sm3YBi4 structure.

```
Sm3YBi4
1.0
4.543 0.000 0.000
0.000 7.863 -0.075
0.000 -2.550 7.438
Sm Y Bi
3 1 4
Cartesian
0.000 -1.275 3.719
2.272 2.656 3.681
0.000 3.931 -0.038
2.272 0.000 0.000
0.000 1.312 1.818
2.272 5.277 1.791
0.000 4.001 5.545
2.272 0.036 5.572
```

Properties
- Offset from the most stable computed form: 4.5 meV per atom
- DOS(E_F): 1.21 states/eV/f.u.
- Raw total energy: -5.436 eV per atom



No. 5
Density functional theory data (PBE) for a geometry-optimized BaNb3I structure.

```
BaNb3I
1.0
-3.796 -2.048 2.923
-1.533 -2.917 -4.036
3.223 -3.801 1.522
I Nb Ba
1 3 1
Cartesian
0.000 0.000 0.000
-0.767 -1.459 -2.018
1.611 -1.900 0.761
-1.898 -1.024 1.461
-1.053 -4.383 0.205
```

Properties
- Offset from the most stable computed form: 0.0 meV per atom
- DOS(E_F): 7.09 states/eV/f.u.
- Formation energy without anion corrections: 1412 meV per atom
- Raw total energy: -5.324 eV per atom



No. 6
Density functional theory data (PBE) for a geometry-optimized BaSmZn2 structure.

```
BaSmZn2
1.0
5.458 0.000 0.000
2.729 4.727 0.000
2.729 1.576 4.456
Zn Ba Sm
2 1 1
Cartesian
2.729 1.576 1.114
8.187 4.727 3.342
5.458 3.151 2.228
0.000 0.000 0.000
```

Properties
- Offset from the most stable computed form: 102.0 meV per atom
- DOS(E_F): 2.36 states/eV/f.u.
- Raw total energy: -2.412 eV per atom



No. 7
Density functional theory data (PBE) for a geometry-optimized Pr3AlO5 structure.

```
Pr3AlO5
1.0
6.563 0.000 0.000
0.000 6.563 0.000
-3.282 -3.282 5.934
Pr Al O
6 2 10
Cartesian
4.393 1.111 0.000
2.170 5.452 0.000
5.452 4.393 0.000
1.111 2.170 0.000
0.000 0.000 2.967
3.282 3.282 2.967
3.282 0.000 2.967
0.000 3.282 2.967
4.268 0.986 4.055
2.295 -0.986 4.055
-0.986 4.268 4.055
0.986 2.295 4.055
-0.986 2.295 1.879
0.986 4.268 1.879
4.268 -0.986 1.879
2.295 0.986 1.879
3.282 3.282 0.000
0.000 0.000 0.000
```

Properties
- DOS(E_F): 1.25 states/eV/f.u.
- Formation energy without anion corrections: -2800 meV per atom
- Raw total energy: -7.564 eV per atom



No. 8
Density functional theory data (PBE) for a geometry-optimized K2BaZr3S8 structure.

```
K2BaZr3S8
1.0
7.813 0.000 0.000
3.906 6.766 0.000
3.906 2.255 7.596
K Ba Zr S
2 1 3 8
Cartesian
3.906 2.255 4.529
7.813 4.511 3.849
11.719 6.766 2.986
7.813 2.293 7.584
5.892 5.619 7.584
9.733 5.619 7.584
3.906 2.255 1.456
11.719 6.766 6.162
6.012 3.471 6.245
9.613 3.471 6.245
7.813 6.590 6.245
7.813 2.484 1.420
6.058 5.524 1.420
9.568 5.524 1.420
```

Properties
- Formation energy without anion corrections: -1501 meV per atom
- Raw total energy: -5.986 eV per atom